[1]
Density functional theory data (PBE-GGA) for a geometry-optimized YHoGe2 structure.

The structure in CIF format:
```
data_YHoGe2
_chemical_formula_sum 'Y4 Ho4 Ge8'
_cell_length_a 4.239
_cell_length_b 19.756
_cell_length_c 4.499
_cell_angle_alpha 90.00
_cell_angle_beta 90.00
_cell_angle_gamma 90.00
_symmetry_space_group_name_H-M 'C m c m'
_symmetry_Int_Tables_number 63
_symmetry_space_group_name_Hall '-C 2c 2'
loop_
_atom_site_label
_atom_site_type_symbol
_atom_site_fract_x
_atom_site_fract_y
_atom_site_fract_z
Y1 Y 0.000 0.092 0.250
Ho1 Ho 0.000 0.254 0.750
Ge1 Ge 0.000 0.350 0.250
Ge2 Ge 0.000 0.473 0.250
```

Results
- energy relative to the lowest polymorph listed for this composition (meV per atom) = 350
- ρ (g/cm3) = 7.04
- magnetization (μB/atom) = 0.00
- V (A^3/atom) = 23.548

[2]
Density functional theory data (PBE-GGA) for a geometry-optimized YHoGe2 structure.

The structure in CIF format:
```
data_YHoGe2
_chemical_formula_sum 'Y2 Ho2 Ge4'
_cell_length_a 3.954
_cell_length_b 4.292
_cell_length_c 10.740
_cell_angle_alpha 90.00
_cell_angle_beta 90.00
_cell_angle_gamma 90.00
_symmetry_space_group_name_H-M 'A m m 2'
_symmetry_Int_Tables_number 38
loop_
_symmetry_equiv_pos_as_xyz
'x,y,z'
'-x,-y,z'
'-x,y,z'
'x,-y,z'
'x,y+1/2,z+1/2'
'-x,-y+1/2,z+1/2'
'-x,y+1/2,z+1/2'
'x,-y+1/2,z+1/2'
loop_
_atom_site_label
_atom_site_type_symbol
_atom_site_fract_x
_atom_site_fract_y
_atom_site_fract_z
Y1 Y 0.000 0.000 0.000
Ho1 Ho 0.500 0.000 0.278
Ge1 Ge 0.000 0.000 0.724
Ge2 Ge 0.500 0.000 0.554
```

Results
- energy relative to the lowest polymorph listed for this composition (meV per atom) = 0
- ρ (g/cm3) = 7.27
- magnetization (μB/atom) = 0.00
- V (A^3/atom) = 22.781

[3]
Density functional theory data (PBE-GGA) for a geometry-optimized HoZrGe structure.

The structure in CIF format:
```
data_HoZrGe
_chemical_formula_sum 'Ho4 Zr4 Ge4'
_cell_length_a 6.646
_cell_length_b 6.646
_cell_length_c 6.646
_cell_angle_alpha 90.00
_cell_angle_beta 90.00
_cell_angle_gamma 90.00
_symmetry_space_group_name_H-M 'F -4 3 m'
_symmetry_Int_Tables_number 216
_symmetry_space_group_name_Hall 'F -4 2 3'
loop_
_atom_site_label
_atom_site_type_symbol
_atom_site_fract_x
_atom_site_fract_y
_atom_site_fract_z
Ho1 Ho 0.000 0.000 0.000
Zr1 Zr 0.000 0.000 0.500
Ge1 Ge 0.250 0.250 0.250
```

Results
- E_tot (eV/atom) = -6.30
- ρ (g/cm3) = 7.44
- magnetization (μB/atom) = 0.00
- V (A^3/atom) = 24.466

[4]
Density functional theory data (PBE-GGA) for a geometry-optimized LaPrGe2I2 structure.

The structure in CIF format:
```
data_LaPrGe2I2
_chemical_formula_sum 'La1 Pr1 Ge2 I2'
_cell_length_a 4.4253
_cell_length_b 4.4253
_cell_length_c 12.5052
_cell_angle_alpha 90.00
_cell_angle_beta 90.00
_cell_angle_gamma 120.00
_symmetry_space_group_name_H-M 'P 3 m 1'
_symmetry_Int_Tables_number 156
loop_
_symmetry_equiv_pos_as_xyz
'x,y,z'
'-y,x-y,z'
'-x+y,-x,z'
'-y,-x,z'
'-x+y,y,z'
'x,x-y,z'
loop_
_atom_site_label
_atom_site_type_symbol
_atom_site_fract_x
_atom_site_fract_y
_atom_site_fract_z
La1 La 0.0000 0.0000 0.0000
Pr1 Pr 0.0000 0.0000 0.6777
Ge1 Ge 0.3333 0.6667 0.8467
Ge2 Ge 0.6667 0.3333 0.8286
I1 I 0.3333 0.6667 0.5132
I2 I 0.6667 0.3333 0.1678
```

Results
- E_tot (eV/atom) = -4.77
- ρ (g/cm3) = 5.32
- magnetization (μB/atom) = 0.00
- V (A^3/atom) = 35.346

[5]
Density functional theory data (PBE-GGA) for a geometry-optimized Zn2GeIN4 structure.

The structure in CIF format:
```
data_Zn2GeIN4
_chemical_formula_sum 'Zn4 Ge2 I2 N8'
_cell_length_a 4.714
_cell_length_b 4.714
_cell_length_c 9.725
_cell_angle_alpha 90.00
_cell_angle_beta 90.00
_cell_angle_gamma 90.00
_symmetry_space_group_name_H-M 'I -4'
_symmetry_Int_Tables_number 82
loop_
_symmetry_equiv_pos_as_xyz
'x,y,z'
'y,-x,-z'
'-x,-y,z'
'-y,x,-z'
'x+1/2,y+1/2,z+1/2'
'y+1/2,-x+1/2,-z+1/2'
'-x+1/2,-y+1/2,z+1/2'
'-y+1/2,x+1/2,-z+1/2'
loop_
_atom_site_label
_atom_site_type_symbol
_atom_site_fract_x
_atom_site_fract_y
_atom_site_fract_z
Zn1 Zn 0.000 0.000 0.000
Zn2 Zn 0.000 0.500 0.250
Ge1 Ge 0.000 0.000 0.500
I1 I 0.000 0.500 0.750
N1 N 0.211 0.742 0.392
```

Results
- E_tot (eV/atom) = -4.57
- ρ (g/cm3) = 5.94
- V (A^3/atom) = 13.504

[6]
Density functional theory data (PBE-GGA) for a geometry-optimized Nd7GeI12 structure.

The structure in CIF format:
```
data_Nd7GeI12
_chemical_formula_sum 'Nd21 Ge3 I36'
_cell_length_a 16.1620
_cell_length_b 16.1620
_cell_length_c 10.7374
_cell_angle_alpha 90.00
_cell_angle_beta 90.00
_cell_angle_gamma 120.00
_symmetry_space_group_name_H-M 'R -3'
_symmetry_Int_Tables_number 148
_symmetry_space_group_name_Hall '-R 3'
loop_
_atom_site_label
_atom_site_type_symbol
_atom_site_fract_x
_atom_site_fract_y
_atom_site_fract_z
Nd1 Nd 0.0000 0.0000 0.0000
Nd2 Nd 0.0465 0.1641 0.3478
Ge1 Ge 0.0000 0.0000 0.5000
I1 I 0.0223 0.5873 0.1660
I2 I 0.0517 0.1841 0.8384
```

Results
- E_tot (eV/atom) = -4.15
- ρ (g/cm3) = 5.34
- magnetization (μB/atom) = 0.01
- V (A^3/atom) = 40.483